# SrIn2Pb (PBE-GGA, relaxed)
# ΔE_f	-1.01	eV per formula unit
# calculated volume	124.25	Å³/f.u.
data_SrIn2Pb
_cell_length_a 4.078
_cell_length_b 4.078
_cell_length_c 7.472
_cell_angle_alpha 90.00
_cell_angle_beta 90.00
_cell_angle_gamma 90.15
_symmetry_space_group_name_H-M 'P 1'
_symmetry_Int_Tables_number 1
loop_
_symmetry_equiv_pos_as_xyz
'x,y,z'
loop_
_atom_site_label
_atom_site_type_symbol
_atom_site_fract_x
_atom_site_fract_y
_atom_site_fract_z
In1 In 0.000 0.000 0.040
In2 In 0.500 0.500 0.243
Pb1 Pb 0.000 0.000 0.462
Sr1 Sr 0.500 0.500 0.756

***

# Sr8InPb2 (PBE-GGA, relaxed)
# ΔE_f	-3.13	eV per formula unit
# calculated volume	441.96	Å³/f.u.
data_Sr8InPb2
_cell_length_a 5.707
_cell_length_b 9.119
_cell_length_c 10.052
_cell_angle_alpha 116.97
_cell_angle_beta 106.49
_cell_angle_gamma 90.00
_symmetry_space_group_name_H-M 'P 1'
_symmetry_Int_Tables_number 1
loop_
_symmetry_equiv_pos_as_xyz
'x,y,z'
loop_
_atom_site_label
_atom_site_type_symbol
_atom_site_fract_x
_atom_site_fract_y
_atom_site_fract_z
Sr1 Sr 0.655 0.876 0.309
Sr2 Sr 0.345 0.566 0.691
Sr3 Sr 0.148 0.148 0.296
Sr4 Sr 0.000 0.307 0.000
Sr5 Sr 0.852 0.852 0.704
Sr6 Sr 0.655 0.434 0.309
Sr7 Sr 0.345 0.124 0.691
Sr8 Sr 0.000 0.693 0.000
In1 In 0.500 0.000 0.000
Pb1 Pb 0.191 0.691 0.382
Pb2 Pb 0.809 0.309 0.618

***

# SrIn3Pb (PBE-GGA, relaxed)
# ΔE_f	-1.11	eV per formula unit
# calculated volume	151.79	Å³/f.u.
data_SrIn3Pb
_cell_length_a 7.870
_cell_length_b 8.377
_cell_length_c 9.210
_cell_angle_alpha 90.00
_cell_angle_beta 90.00
_cell_angle_gamma 90.00
_symmetry_space_group_name_H-M 'P 1'
_symmetry_Int_Tables_number 1
loop_
_symmetry_equiv_pos_as_xyz
'x,y,z'
loop_
_atom_site_label
_atom_site_type_symbol
_atom_site_fract_x
_atom_site_fract_y
_atom_site_fract_z
Sr1 Sr 0.750 0.349 0.684
Sr2 Sr 0.250 0.151 0.184
Sr3 Sr 0.250 0.651 0.316
Sr4 Sr 0.750 0.849 0.816
In1 In 0.938 0.861 0.160
In2 In 0.438 0.639 0.660
In3 In 0.062 0.639 0.660
In4 In 0.438 0.139 0.840
In5 In 0.062 0.139 0.840
In6 In 0.562 0.361 0.340
In7 In 0.938 0.361 0.340
In8 In 0.562 0.861 0.160
In9 In 0.750 0.184 0.070
In10 In 0.250 0.316 0.570
In11 In 0.250 0.816 0.930
In12 In 0.750 0.684 0.430
Pb1 Pb 0.000 0.000 0.500
Pb2 Pb 0.500 0.500 0.000
Pb3 Pb 0.000 0.500 0.000
Pb4 Pb 0.500 0.000 0.500

***

Which formula does entry 3 have? SrIn3Pb